(1)
# La2ErMg3 (PBE, relaxed)
# total magnetization	0.00	μB/cell
# Fermi-level density of states	7.11	states/eV/f.u.
# formation energy from the elements	-0.093	eV/atom
data_La2ErMg3
_chemical_formula_sum 'La2 Er1 Mg3'
_symmetry_space_group_name_H-M 'P 4/m m m'
_symmetry_Int_Tables_number 123
_symmetry_space_group_name_Hall '-P 4 2'
_cell_length_a 3.882
_cell_length_b 3.882
_cell_length_c 11.769
_cell_angle_alpha 90.00
_cell_angle_beta 90.00
_cell_angle_gamma 90.00
loop_
_atom_site_label
_atom_site_type_symbol
_atom_site_fract_x
_atom_site_fract_y
_atom_site_fract_z
La1 La 0.000 0.000 0.173
Er1 Er 0.000 0.000 0.500
Mg1 Mg 0.500 0.500 0.000
Mg2 Mg 0.500 0.500 0.348

(2)
# PmEr2Co (PBE, relaxed)
# total magnetization	0.00	μB/cell
# Fermi-level density of states	4.62	states/eV/f.u.
# formation energy from the elements	-0.031	eV/atom
data_PmEr2Co
_chemical_formula_sum 'Pm3 Er6 Co3'
_symmetry_space_group_name_H-M 'R 3 m'
_symmetry_Int_Tables_number 160
_symmetry_space_group_name_Hall 'R 3 -2"'
_cell_length_a 3.7681
_cell_length_b 3.7681
_cell_length_c 26.8118
_cell_angle_alpha 90.00
_cell_angle_beta 90.00
_cell_angle_gamma 120.00
loop_
_atom_site_label
_atom_site_type_symbol
_atom_site_fract_x
_atom_site_fract_y
_atom_site_fract_z
Pm1 Pm 0.0000 0.0000 0.0000
Er1 Er 0.0000 0.0000 0.5532
Er2 Er 0.0000 0.0000 0.7760
Co1 Co 0.0000 0.0000 0.1646

(3)
# PuScAgSe4 (PBE, relaxed)
# formation energy (no corrections)	-1.148	eV per atom
# total magnetization	15.97	μB/cell
# Fermi-level density of states	12.39	states/eV/f.u.
data_PuScAgSe4
_chemical_formula_sum 'Pu4 Sc4 Ag4 Se16'
_symmetry_space_group_name_H-M 'I m m a'
_symmetry_Int_Tables_number 74
_symmetry_space_group_name_Hall '-I 2b 2'
_cell_length_a 7.965
_cell_length_b 8.411
_cell_length_c 11.334
_cell_angle_alpha 90.00
_cell_angle_beta 90.00
_cell_angle_gamma 90.00
loop_
_atom_site_label
_atom_site_type_symbol
_atom_site_fract_x
_atom_site_fract_y
_atom_site_fract_z
Pu1 Pu 0.000 0.000 0.000
Sc1 Sc 0.250 0.250 0.250
Ag1 Ag 0.000 0.250 0.641
Se1 Se 0.000 0.028 0.248
Se2 Se 0.238 0.250 0.010

(4)
# Sb2TeCl (PBE, relaxed)
# formation energy (no corrections)	0.005	eV per atom
# total magnetization	0.00	μB/cell
# Fermi-level density of states	2.29	states/eV/f.u.
data_Sb2TeCl
_chemical_formula_sum 'Sb6 Te3 Cl3'
_symmetry_space_group_name_H-M 'R -3 m'
_symmetry_Int_Tables_number 166
_symmetry_space_group_name_Hall '-R 3 2"'
_cell_length_a 3.8317
_cell_length_b 3.8317
_cell_length_c 26.8947
_cell_angle_alpha 90.00
_cell_angle_beta 90.00
_cell_angle_gamma 120.00
loop_
_atom_site_label
_atom_site_type_symbol
_atom_site_fract_x
_atom_site_fract_y
_atom_site_fract_z
Sb1 Sb 0.0000 0.0000 0.2467
Te1 Te 0.0000 0.0000 0.5000
Cl1 Cl 0.0000 0.0000 0.0000

(5)
# Be2AsPt (PBE, relaxed)
# total magnetization	0.00	μB/cell
# Fermi-level density of states	1.18	states/eV/f.u.
# formation energy from the elements	-0.219	eV/atom
data_Be2AsPt
_chemical_formula_sum 'Be2 As1 Pt1'
_symmetry_space_group_name_H-M 'P 1 m 1'
_symmetry_Int_Tables_number 6
_cell_length_a 2.733
_cell_length_b 3.727
_cell_length_c 5.582
_cell_angle_alpha 90.00
_cell_angle_beta 103.90
_cell_angle_gamma 90.00
loop_
_symmetry_equiv_pos_as_xyz
'x,y,z'
'x,-y,z'
loop_
_atom_site_label
_atom_site_type_symbol
_atom_site_fract_x
_atom_site_fract_y
_atom_site_fract_z
Be1 Be 0.000 0.000 0.000
Be2 Be 0.115 0.500 0.229
As1 As 0.875 0.500 0.752
Pt1 Pt 0.668 0.000 0.341

(6)
# CaPaSi2Ir5 (PBE, relaxed)
# formation energy (no corrections)	-0.516	eV per atom
# total magnetization	0.00	μB/cell
# Fermi-level density of states	5.18	states/eV/f.u.
data_CaPaSi2Ir5
_chemical_formula_sum 'Ca1 Pa1 Si2 Ir5'
_symmetry_space_group_name_H-M 'P 4/m m m'
_symmetry_Int_Tables_number 123
_symmetry_space_group_name_Hall '-P 4 2'
_cell_length_a 4.005
_cell_length_b 4.005
_cell_length_c 11.274
_cell_angle_alpha 90.00
_cell_angle_beta 90.00
_cell_angle_gamma 90.00
loop_
_atom_site_label
_atom_site_type_symbol
_atom_site_fract_x
_atom_site_fract_y
_atom_site_fract_z
Ca1 Ca 0.000 0.000 0.000
Pa1 Pa 0.000 0.000 0.500
Si1 Si 0.500 0.500 0.206
Ir1 Ir 0.000 0.500 0.323
Ir2 Ir 0.500 0.500 0.000

(7)
# CeMgRuRh (PBE, relaxed)
# total magnetization	0.00	μB/cell
# Fermi-level density of states	2.46	states/eV/f.u.
# formation energy from the elements	-0.445	eV/atom
data_CeMgRuRh
_chemical_formula_sum 'Ce4 Mg4 Ru4 Rh4'
_symmetry_space_group_name_H-M 'F -4 3 m'
_symmetry_Int_Tables_number 216
_symmetry_space_group_name_Hall 'F -4 2 3'
_cell_length_a 6.603
_cell_length_b 6.603
_cell_length_c 6.603
_cell_angle_alpha 90.00
_cell_angle_beta 90.00
_cell_angle_gamma 90.00
loop_
_atom_site_label
_atom_site_type_symbol
_atom_site_fract_x
_atom_site_fract_y
_atom_site_fract_z
Ce1 Ce 0.000 0.000 0.000
Mg1 Mg 0.000 0.000 0.500
Ru1 Ru 0.250 0.250 0.250
Rh1 Rh 0.250 0.250 0.750

(8)
# InOsAu2 (PBE, relaxed)
# total magnetization	0.00	μB/cell
# Fermi-level density of states	2.11	states/eV/f.u.
# formation energy from the elements	0.401	eV/atom
data_InOsAu2
_chemical_formula_sum 'In3 Os3 Au6'
_symmetry_space_group_name_H-M 'R 3 m'
_symmetry_Int_Tables_number 160
_symmetry_space_group_name_Hall 'R 3 -2"'
_cell_length_a 2.9750
_cell_length_b 2.9750
_cell_length_c 27.8198
_cell_angle_alpha 90.00
_cell_angle_beta 90.00
_cell_angle_gamma 120.00
loop_
_atom_site_label
_atom_site_type_symbol
_atom_site_fract_x
_atom_site_fract_y
_atom_site_fract_z
In1 In 0.0000 0.0000 0.0000
Os1 Os 0.0000 0.0000 0.2540
Au1 Au 0.0000 0.0000 0.5062
Au2 Au 0.0000 0.0000 0.7534

(9)
# NdY2Cu6 (PBE, relaxed)
# total magnetization	0.00	μB/cell
# Fermi-level density of states	4.84	states/eV/f.u.
# formation energy from the elements	-0.237	eV/atom
data_NdY2Cu6
_chemical_formula_sum 'Nd1 Y2 Cu6'
_symmetry_space_group_name_H-M 'P 6/m m m'
_symmetry_Int_Tables_number 191
_symmetry_space_group_name_Hall '-P 6 2'
_cell_length_a 7.3518
_cell_length_b 7.3518
_cell_length_c 3.6630
_cell_angle_alpha 90.00
_cell_angle_beta 90.00
_cell_angle_gamma 120.00
loop_
_atom_site_label
_atom_site_type_symbol
_atom_site_fract_x
_atom_site_fract_y
_atom_site_fract_z
Nd1 Nd 0.0000 0.0000 0.0000
Y1 Y 0.3333 0.6667 0.0000
Cu1 Cu 0.0000 0.3353 0.5000

(10)
# Pr3Ho2Er4 (PBE, relaxed)
# total magnetization	0.00	μB/cell
# Fermi-level density of states	13.52	states/eV/f.u.
# formation energy from the elements	0.103	eV/atom
data_Pr3Ho2Er4
_chemical_formula_sum 'Pr12 Ho8 Er16'
_symmetry_space_group_name_H-M 'C 1 2/c 1'
_symmetry_Int_Tables_number 15
_cell_length_a 16.645
_cell_length_b 11.706
_cell_length_c 6.044
_cell_angle_alpha 90.00
_cell_angle_beta 97.91
_cell_angle_gamma 90.00
loop_
_symmetry_equiv_pos_as_xyz
'x,y,z'
'-x,-y,-z'
'-x,y,-z+1/2'
'x,-y,z+1/2'
'x+1/2,y+1/2,z'
'-x+1/2,-y+1/2,-z'
'-x+1/2,y+1/2,-z+1/2'
'x+1/2,-y+1/2,z+1/2'
loop_
_atom_site_label
_atom_site_type_symbol
_atom_site_fract_x
_atom_site_fract_y
_atom_site_fract_z
Pr1 Pr 0.000 0.109 0.250
Pr2 Pr 0.166 0.392 0.084
Ho1 Ho 0.117 0.131 0.811
Er1 Er 0.050 0.369 0.522
Er2 Er 0.218 0.132 0.355

(11)
# Tb2CeAl (PBE, relaxed)
# total magnetization	0.00	μB/cell
# Fermi-level density of states	5.45	states/eV/f.u.
# formation energy from the elements	-0.004	eV/atom
data_Tb2CeAl
_chemical_formula_sum 'Tb8 Ce4 Al4'
_symmetry_space_group_name_H-M 'F m -3 m'
_symmetry_Int_Tables_number 225
_symmetry_space_group_name_Hall '-F 4 2 3'
_cell_length_a 7.503
_cell_length_b 7.503
_cell_length_c 7.503
_cell_angle_alpha 90.00
_cell_angle_beta 90.00
_cell_angle_gamma 90.00
loop_
_atom_site_label
_atom_site_type_symbol
_atom_site_fract_x
_atom_site_fract_y
_atom_site_fract_z
Tb1 Tb 0.250 0.250 0.250
Ce1 Ce 0.000 0.000 0.000
Al1 Al 0.000 0.000 0.500

(12)
# CsTi2Au (PBE, relaxed)
# total magnetization	0.00	μB/cell
# Fermi-level density of states	4.80	states/eV/f.u.
# formation energy from the elements	0.877	eV/atom
data_CsTi2Au
_chemical_formula_sum 'Cs4 Ti8 Au4'
_symmetry_space_group_name_H-M 'F m -3 m'
_symmetry_Int_Tables_number 225
_symmetry_space_group_name_Hall '-F 4 2 3'
_cell_length_a 6.905
_cell_length_b 6.905
_cell_length_c 6.905
_cell_angle_alpha 90.00
_cell_angle_beta 90.00
_cell_angle_gamma 90.00
loop_
_atom_site_label
_atom_site_type_symbol
_atom_site_fract_x
_atom_site_fract_y
_atom_site_fract_z
Cs1 Cs 0.000 0.000 0.000
Ti1 Ti 0.250 0.250 0.250
Au1 Au 0.000 0.000 0.500

| no. | calculated volume (Å³/atom) | density (g/cm³) |
| --- | --- | --- |
| 1 | 29.56 | 4.85 |
| 2 | 27.47 | 8.14 |
| 3 | 27.12 | 6.23 |
| 4 | 28.50 | 5.92 |
| 5 | 13.80 | 8.67 |
| 6 | 20.09 | 11.83 |
| 7 | 17.99 | 8.50 |
| 8 | 17.77 | 16.33 |
| 9 | 19.05 | 6.81 |
| 10 | 32.40 | 8.10 |
| 11 | 26.40 | 7.63 |
| 12 | 20.58 | 8.59 |